Material: Th2AlGaCo6
Method: DFT, PBE
State: relaxed

Summary:
Spin magnetization in μB per atom: 0.1473
ΔH_f (0 K) in meV/atom: -196
Density in g/cm³: 9.366

abc: 5.309 6.147 6.182
angles: 60.89 69.96 70.49
Atoms (fractional coordinates):
Th1 0.117 0.289 0.311
Th2 0.883 0.711 0.689
Al1 0.000 0.000 0.000
Ga1 0.500 0.500 0.500
Co1 0.326 0.809 0.682
Co2 0.406 0.650 0.098
Co3 0.453 0.082 0.801
Co4 0.547 0.918 0.199
Co5 0.594 0.350 0.902
Co6 0.674 0.191 0.318